The following is a DFT calculation (GGA-PBE) of a relaxed KMoBr2 crystal.

```
data_KMoBr2
_symmetry_space_group_name_H-M 'P 1'
_symmetry_Int_Tables_number 1
_symmetry_space_group_name_Hall 'P 1'
_cell_length_a 6.2641
_cell_length_b 6.2641
_cell_length_c 8.2328
_cell_angle_alpha 67.64
_cell_angle_beta 67.64
_cell_angle_gamma 90.00
loop_
_atom_site_label
_atom_site_fract_x
_atom_site_fract_y
_atom_site_fract_z
Mo1 0.0000 0.0000 0.0000
Mo2 0.7500 0.2500 0.5000
K1 0.5000 0.5000 0.0000
K2 0.2500 0.7500 0.5000
Br1 0.7259 0.1250 0.2500
Br2 0.0241 0.6250 0.2500
Br3 0.3750 0.2741 0.7500
Br4 0.8750 0.9759 0.7500
```

Results
The calculation puts the volume at 34.0 Å³ per atom. The value obtained for the density of states at the Fermi level is 7.96 states/eV per cell. Its magnetic moment is 0.00 μB/cell. The uncorrected formation energy is 73.5 meV/atom.